# TaIn2, PBEsol geometry, DFT meta-GGA SCAN
# Uncorrected energy (eV/atom): -44.167
# Formation enthalpy at 0 K (kJ/mol of formula units): 82
# Crystal system: tetragonal
# Calculated volume (Å³ per cell): 124
data_TaIn2
_cell_length_a 2.951
_cell_length_b 2.951
_cell_length_c 14.202
_cell_angle_alpha 90.00
_cell_angle_beta 90.00
_cell_angle_gamma 90.00
_symmetry_space_group_name_H-M 'I 4/m m m'
_symmetry_Int_Tables_number 139
_symmetry_space_group_name_Hall '-I 4 2'
loop_
_atom_site_label
_atom_site_type_symbol
_atom_site_fract_x
_atom_site_fract_y
_atom_site_fract_z
Ta1 Ta 0.000 0.000 0.000
In1 In 0.000 0.000 0.345